The following is a DFT calculation (SCAN) of a crystal of LaTe2Br relaxed with PBEsol.

Geometry as POSCAR:
```
LaTe2Br
1.0
5.589 0.000 0.000
0.000 4.465 0.000
0.000 0.000 4.444
Te La Br
2 1 1
Direct
0.000 0.500 0.625
0.000 0.000 0.125
0.500 0.500 0.125
0.500 0.000 0.625
```

Values from the calculation:
The calculation puts the energy above the lowest structure with this stoichiometry at 0 meV per atom. Its energy relative to the elements, uncorrected is -1.2036 eV/atom. As for the total energy: -35.470 eV/atom.